Record 1
# GGA-PBE CsCeAs, optimized geometry
data_CsCeAs
_space_group_name_H-M_alt 'I 4/m m m'
_space_group_IT_number 139
_space_group_name_Hall '-I 4 2'
_cell_length_a 4.133
_cell_length_b 4.133
_cell_length_c 28.314
_cell_angle_alpha 90.00
_cell_angle_beta 90.00
_cell_angle_gamma 90.00
loop_
_atom_site_label
_atom_site_fract_x
_atom_site_fract_y
_atom_site_fract_z
Cs1 0.000 0.000 0.085
Ce1 0.000 0.000 0.211
As1 0.000 0.000 0.319
# DFT formation energy = -0.7418 eV/atom

---

Record 2
# GGA-PBE K3HfMg2S6, optimized geometry
data_K3HfMg2S6
_space_group_name_H-M_alt 'C 1 2/m 1'
_space_group_IT_number 12
_space_group_name_Hall '-C 2y'
_cell_length_a 6.612
_cell_length_b 11.451
_cell_length_c 7.691
_cell_angle_alpha 90.00
_cell_angle_beta 106.65
_cell_angle_gamma 90.00
loop_
_atom_site_label
_atom_site_fract_x
_atom_site_fract_y
_atom_site_fract_z
K1 0.000 0.000 0.000
K2 0.000 0.331 0.000
Hf1 0.000 0.500 0.500
Mg1 0.000 0.166 0.500
S1 0.226 0.338 0.693
S2 0.241 0.000 0.694
# Uncorrected formation energy = -15.6 eV per formula unit

---

Record 3
# GGA-PBE MoSe2, optimized geometry
data_MoSe2
_space_group_name_H-M_alt 'P 63/m m c'
_space_group_IT_number 194
_space_group_name_Hall '-P 6c 2c'
_cell_length_a 5.2209
_cell_length_b 5.2209
_cell_length_c 10.6886
_cell_angle_alpha 90.00
_cell_angle_beta 90.00
_cell_angle_gamma 120.00
loop_
_atom_site_label
_atom_site_fract_x
_atom_site_fract_y
_atom_site_fract_z
Mo1 0.3333 0.6667 0.0546
Se1 0.0000 0.0000 0.0000
Se2 0.1654 0.3307 0.2500
# Uncorrected formation energy = 2.2 eV per formula unit

---

Record 4
# GGA-PBE Dy2TmTc, optimized geometry
data_Dy2TmTc
_space_group_name_H-M_alt 'P n m a'
_space_group_IT_number 62
_space_group_name_Hall '-P 2ac 2n'
_cell_length_a 7.392
_cell_length_b 9.151
_cell_length_c 6.208
_cell_angle_alpha 90.00
_cell_angle_beta 90.00
_cell_angle_gamma 90.00
loop_
_atom_site_label
_atom_site_fract_x
_atom_site_fract_y
_atom_site_fract_z
Dy1 0.177 0.063 0.159
Tm1 0.043 0.250 0.630
Tc1 0.114 0.750 0.960
# Distance to the lowest polymorph of the same formula = 0 meV per atom
# DFT formation energy = -0.1145 eV/atom

---

Record 5
# GGA-PBE Ba2TlPb, optimized geometry
data_Ba2TlPb
_space_group_name_H-M_alt 'I m m 2'
_space_group_IT_number 44
_space_group_name_Hall 'I 2 -2'
_cell_length_a 4.545
_cell_length_b 5.655
_cell_length_c 12.218
_cell_angle_alpha 90.00
_cell_angle_beta 90.00
_cell_angle_gamma 90.00
loop_
_atom_site_label
_atom_site_fract_x
_atom_site_fract_y
_atom_site_fract_z
Ba1 0.000 0.000 0.000
Ba2 0.000 0.500 0.216
Tl1 0.000 0.000 0.450
Pb1 0.000 0.500 0.772
# DFT formation energy = -0.4165 eV/atom

---

Record 6
# GGA-PBE Cs3CaCr2Cl9, optimized geometry
data_Cs3CaCr2Cl9
_space_group_name_H-M_alt 'P -3 m 1'
_space_group_IT_number 164
_space_group_name_Hall '-P 3 2"'
_cell_length_a 7.3537
_cell_length_b 7.3537
_cell_length_c 9.0206
_cell_angle_alpha 90.00
_cell_angle_beta 90.00
_cell_angle_gamma 120.00
loop_
_atom_site_label
_atom_site_fract_x
_atom_site_fract_y
_atom_site_fract_z
Cs1 0.0000 0.0000 0.0000
Cs2 0.3333 0.6667 0.6687
Ca1 0.0000 0.0000 0.5000
Cr1 0.3333 0.6667 0.1559
Cl1 0.0000 0.5000 0.0000
Cl2 0.1736 0.3471 0.3216
# Uncorrected formation energy = -25.2 eV per formula unit

---

Record 7
# GGA-PBE LiLuAlHg, optimized geometry
data_LiLuAlHg
_space_group_name_H-M_alt 'F -4 3 m'
_space_group_IT_number 216
_space_group_name_Hall 'F -4 2 3'
_cell_length_a 6.910
_cell_length_b 6.910
_cell_length_c 6.910
_cell_angle_alpha 90.00
_cell_angle_beta 90.00
_cell_angle_gamma 90.00
loop_
_atom_site_label
_atom_site_fract_x
_atom_site_fract_y
_atom_site_fract_z
Li1 0.000 0.000 0.000
Lu1 0.000 0.000 0.500
Al1 0.250 0.250 0.750
Hg1 0.250 0.250 0.250
# DFT formation energy = -0.3025 eV/atom

---

Record 8
# GGA-PBE Sr4TaMn, optimized geometry
data_Sr4TaMn
_space_group_name_H-M_alt 'F -4 3 m'
_space_group_IT_number 216
_space_group_name_Hall 'F -4 2 3'
_cell_length_a 9.733
_cell_length_b 9.733
_cell_length_c 9.733
_cell_angle_alpha 90.00
_cell_angle_beta 90.00
_cell_angle_gamma 90.00
loop_
_atom_site_label
_atom_site_fract_x
_atom_site_fract_y
_atom_site_fract_z
Sr1 0.124 0.124 0.124
Ta1 0.250 0.250 0.750
Mn1 0.000 0.000 0.500
# DFT formation energy = 1.3595 eV/atom

---

Record 9
# GGA-PBE PmAsPd4, optimized geometry
data_PmAsPd4
_space_group_name_H-M_alt 'F -4 3 m'
_space_group_IT_number 216
_space_group_name_Hall 'F -4 2 3'
_cell_length_a 7.614
_cell_length_b 7.614
_cell_length_c 7.614
_cell_angle_alpha 90.00
_cell_angle_beta 90.00
_cell_angle_gamma 90.00
loop_
_atom_site_label
_atom_site_fract_x
_atom_site_fract_y
_atom_site_fract_z
Pm1 0.000 0.000 0.000
As1 0.250 0.250 0.750
Pd1 0.125 0.125 0.375
# Distance to the lowest polymorph of the same formula = 183 meV per atom
# DFT formation energy = -0.4435 eV/atom

---

Record 10
# GGA-PBE Tb2Pm4Sm3, optimized geometry
data_Tb2Pm4Sm3
_space_group_name_H-M_alt 'C 1 2/m 1'
_space_group_IT_number 12
_space_group_name_Hall '-C 2y'
_cell_length_a 15.812
_cell_length_b 3.622
_cell_length_c 10.857
_cell_angle_alpha 90.00
_cell_angle_beta 103.26
_cell_angle_gamma 90.00
loop_
_atom_site_label
_atom_site_fract_x
_atom_site_fract_y
_atom_site_fract_z
Tb1 0.167 0.000 0.222
Pm1 0.000 0.500 0.333
Pm2 0.167 0.000 0.889
Sm1 0.000 0.500 0.000
Sm2 0.167 0.000 0.556
# Distance to the lowest polymorph of the same formula = 0 meV per atom
# DFT formation energy = 0.0148 eV/atom

---

Record 11
# GGA-PBE Re2HgSb, optimized geometry
data_Re2HgSb
_space_group_name_H-M_alt 'C 1 2/m 1'
_space_group_IT_number 12
_space_group_name_Hall '-C 2y'
_cell_length_a 8.870
_cell_length_b 3.076
_cell_length_c 5.448
_cell_angle_alpha 90.00
_cell_angle_beta 101.29
_cell_angle_gamma 90.00
loop_
_atom_site_label
_atom_site_fract_x
_atom_site_fract_y
_atom_site_fract_z
Re1 0.245 0.000 0.216
Hg1 0.000 0.000 0.500
Sb1 0.000 0.500 0.000
# Distance to the lowest polymorph of the same formula = 535 meV per atom
# Uncorrected formation energy = 3.5 eV per formula unit

---

Record 12
# GGA-PBE Zr2Ti2Ga7, optimized geometry
data_Zr2Ti2Ga7
_space_group_name_H-M_alt 'C 1 2/m 1'
_space_group_IT_number 12
_space_group_name_Hall '-C 2y'
_cell_length_a 10.831
_cell_length_b 8.458
_cell_length_c 4.745
_cell_angle_alpha 90.00
_cell_angle_beta 115.64
_cell_angle_gamma 90.00
loop_
_atom_site_label
_atom_site_fract_x
_atom_site_fract_y
_atom_site_fract_z
Zr1 0.000 0.192 0.000
Ti1 0.243 0.500 0.238
Ga1 0.000 0.000 0.500
Ga2 0.001 0.500 0.246
Ga3 0.186 0.310 0.685
# DFT formation energy = -0.2635 eV/atom

---

| no. | VASP energy (eV for the cell shown) |
| --- | --- |
| 1 | -54.649 |
| 2 | -113.665 |
| 3 | -62.221 |
| 4 | -98.000 |
| 5 | -23.173 |
| 6 | -65.646 |
| 7 | -46.756 |
| 8 | -78.369 |
| 9 | -131.330 |
| 10 | -84.575 |
| 11 | -51.578 |
| 12 | -113.946 |